Here is a geometry-optimized Tb4Mo6O19 structure from Alexandria. Energies are from GGA+U.

a b c (Å): 9.0904 9.0904 9.0904
angles (deg): 90.00 90.00 90.00
Space group I23 (No. 197)
Asymmetric unit:
Tb  0.1453  0.1453  0.8547 x8
Mo  0.0000  0.3590  0.5000 x12
O  0.0000  0.0000  0.0000 x2
O  0.0000  0.0000  0.3194 x12
O  0.0419  0.3335  0.7131 x24

Properties
Calculated total energy in eV/atom: -7.57
M_tot in μB/cell: 8.000
Calculated density in g/cm3: 6.70